This record from Alexandria via LeMat-Bulk describes a relaxed structure of LaVOF2. The functional is PBE+U.

Cell: 4.3629 4.3629 6.8001 Å, 90.00 90.00 90.00°
Closest atoms and distances in Å follow each position.
Fractional positions:
La (0.0000, 0.0000, 0.0000)  4 F 2.18
V (0.0000, 0.0000, 0.5000)  4 O 3.09, 2 La 3.40
O (0.5000, 0.5000, 0.5000)  4 V 3.09
F (0.0000, 0.5000, 0.0000)  2 La 2.18
F (0.5000, 0.0000, 0.0000)  2 La 2.18

Calculated total energy   -28.23 eV for the cell shown
Distance to the lowest polymorph of the same formula   1001 meV per atom